<one>
Below is Tm8CoOs2 after structural relaxation, with properties calculated at the PBE-GGA level.

The symmetry is No. 12. The crystal system is monoclinic.

Cell lengths 4.688, 6.814, 8.897 Å; angles 106.87, 105.28, 90.00 degrees
Fractional coordinates of all 11 atoms:
Tm 0.206 0.312 0.412
Tm 0.403 0.543 0.806
Tm 0.334 0.039 0.667
Tm 0.666 0.961 0.333
Os 0.817 0.301 0.634
Os 0.183 0.699 0.366
Tm 0.794 0.688 0.588
Tm 0.971 0.205 0.941
Tm 0.029 0.795 0.059
Co 0.500 0.000 0.000
Tm 0.597 0.457 0.194



<two>
Below is Tm8CoOs2 after structural relaxation, with properties calculated at the PBE-GGA level.

The symmetry is No. 8. The crystal system is monoclinic.

Cell lengths 5.722, 7.424, 7.424 Å; angles 111.84, 100.58, 100.58 degrees
Fractional coordinates of all 11 atoms:
Co 0.138 0.995 0.995
Tm 0.992 0.789 0.213
Tm 0.992 0.213 0.789
Tm 0.582 0.081 0.342
Tm 0.582 0.342 0.081
Tm 0.385 0.672 0.930
Tm 0.180 0.359 0.359
Os 0.484 0.318 0.695
Os 0.484 0.695 0.318
Tm 0.797 0.640 0.640
Tm 0.385 0.930 0.672



According to the calculations, the structures order from most to least stable as <one>, <two>.



<one>
Below is Tm8Co2Os after structural relaxation, with properties calculated at the PBE-GGA level.

The symmetry is No. 8. The crystal system is monoclinic.

Cell lengths 5.739, 7.336, 7.336 Å; angles 113.22, 99.96, 99.96 degrees
Fractional coordinates of all 11 atoms:
Tm 0.391 0.671 0.930
Tm 0.391 0.930 0.671
Tm 0.989 0.784 0.217
Tm 0.574 0.079 0.339
Os 0.133 0.999 0.999
Tm 0.174 0.362 0.362
Tm 0.574 0.339 0.079
Co 0.490 0.695 0.317
Tm 0.989 0.217 0.784
Co 0.490 0.317 0.695
Tm 0.805 0.641 0.641



<two>
Below is Tm8Co2Os after structural relaxation, with properties calculated at the PBE-GGA level.

The symmetry is No. 12. The crystal system is monoclinic.

Cell lengths 4.854, 6.611, 8.726 Å; angles 106.94, 106.15, 90.00 degrees
Fractional coordinates of all 11 atoms:
Co 0.187 0.699 0.375
Tm 0.201 0.319 0.402
Tm 0.671 0.971 0.342
Tm 0.405 0.549 0.810
Tm 0.595 0.451 0.190
Tm 0.799 0.681 0.598
Tm 0.035 0.795 0.070
Tm 0.965 0.205 0.930
Co 0.813 0.301 0.625
Os 0.500 0.000 0.000
Tm 0.329 0.029 0.658



According to the calculations, the structures order from most to least stable as <two>, <one>.



<one>
Below is Tm4CoOs after structural relaxation, with properties calculated at the PBE-GGA level.

The symmetry is No. 15. The crystal system is monoclinic.

Cell lengths 6.032, 7.355, 7.704 Å; angles 114.49, 108.36, 99.23 degrees
Fractional coordinates of all 12 atoms:
Tm 0.637 0.363 0.121
Tm 0.788 0.692 0.642
Tm 0.645 0.050 0.358
Os 0.615 0.365 0.731
Tm 0.355 0.950 0.642
Co 0.249 0.999 0.998
Tm 0.212 0.308 0.358
Os 0.385 0.635 0.269
Tm 0.984 0.757 0.121
Tm 0.016 0.243 0.879
Tm 0.363 0.637 0.879
Co 0.751 0.001 0.002



<two>
Below is Tm4CoOs after structural relaxation, with properties calculated at the PBE-GGA level.

The symmetry is No. 11. The crystal system is monoclinic.

Cell lengths 5.924, 6.293, 7.747 Å; angles 90.00, 108.52, 90.00 degrees
Fractional coordinates of all 12 atoms:
Tm 0.994 0.001 0.728
Tm 0.006 0.999 0.272
Os 0.188 0.250 0.042
Tm 0.583 0.250 0.908
Tm 0.006 0.501 0.272
Tm 0.543 0.250 0.374
Co 0.739 0.750 0.427
Os 0.812 0.750 0.958
Tm 0.994 0.499 0.728
Tm 0.457 0.750 0.626
Tm 0.417 0.750 0.092
Co 0.261 0.250 0.573



According to the calculations, the structures order from most to least stable as <one>, <two>.



<one>
Below is VCo3Os after structural relaxation, with properties calculated at the PBE-GGA level.

The symmetry is No. 63. The crystal system is orthorhombic.

Cell lengths 7.882, 3.945, 4.845 Å; angles 114.09, 90.00, 90.00 degrees
Last column: magnetic moment on the atom in μB.
Fractional coordinates of all 10 atoms:
Co 0.750 0.671 0.841  1.56
Co 0.996 0.166 0.833  1.50
V 0.750 0.341 0.181  -0.51
Co 0.504 0.166 0.833  1.50
Os 0.250 0.999 0.500  0.56
Co 0.496 0.834 0.167  1.50
Co 0.004 0.834 0.167  1.50
Os 0.750 0.001 0.500  0.56
V 0.250 0.659 0.819  -0.51
Co 0.250 0.329 0.159  1.56



<two>
Below is VCo3Os after structural relaxation, with properties calculated at the PBE-GGA level.

The symmetry is No. 221. The crystal system is cubic.

Cell lengths 4.107, 4.107, 4.107 Å; angles 90.00, 90.00, 90.00 degrees
Last column: magnetic moment on the atom in μB.
Fractional coordinates of all 5 atoms:
Os 0.500 0.500 0.500  1.09
Co 0.000 0.000 0.500  0.66
Co 0.500 0.000 0.000  0.66
V 0.000 0.000 0.000  -0.40
Co 0.000 0.500 0.000  0.66



<three>
Below is VCo3Os after structural relaxation, with properties calculated at the PBE-GGA level.

The symmetry is No. 221. The crystal system is cubic.

Cell lengths 4.413, 4.413, 4.413 Å; angles 90.00, 90.00, 90.00 degrees
Last column: magnetic moment on the atom in μB.
Fractional coordinates of all 5 atoms:
Co 0.500 0.000 0.000  0.55
Co 0.000 0.000 0.500  0.55
V 0.500 0.500 0.500  2.48
Os 0.000 0.000 0.000  0.00
Co 0.000 0.500 0.000  0.55



According to the calculations, the structures order from most to least stable as <one>, <two>, <three>.



<one>
Below is V2Co2Os after structural relaxation, with properties calculated at the PBE-GGA level.

The symmetry is No. 127. The crystal system is tetragonal.

Cell lengths 6.959, 6.959, 2.595 Å; angles 90.00, 90.00, 90.00 degrees
Fractional coordinates of all 10 atoms:
V 0.157 0.343 0.000
V 0.843 0.657 0.000
V 0.657 0.157 0.000
V 0.343 0.843 0.000
Os 0.500 0.500 0.000
Co 0.638 0.862 0.500
Os 0.000 0.000 0.000
Co 0.138 0.638 0.500
Co 0.862 0.362 0.500
Co 0.362 0.138 0.500



<two>
Below is V2Co2Os after structural relaxation, with properties calculated at the PBE-GGA level.

The symmetry is No. 127. The crystal system is tetragonal.

Cell lengths 6.633, 6.633, 2.800 Å; angles 90.00, 90.00, 90.00 degrees
Fractional coordinates of all 10 atoms:
V 0.824 0.324 0.500
Co 0.126 0.374 0.000
V 0.176 0.676 0.500
Os 0.000 0.000 0.000
V 0.324 0.176 0.500
Co 0.374 0.874 0.000
Co 0.626 0.126 0.000
V 0.676 0.824 0.500
Os 0.500 0.500 0.000
Co 0.874 0.626 0.000



According to the calculations, the structures order from most to least stable as <two>, <one>.



<one>
Below is VCoOs after structural relaxation, with properties calculated at the PBE-GGA level.

The symmetry is No. 194. The crystal system is hexagonal.

Cell lengths 4.073, 4.073, 5.246 Å; angles 90.00, 90.00, 120.00 degrees
Fractional coordinates of all 6 atoms:
V 0.667 0.833 0.750
Os 0.000 0.500 0.500
Os 0.000 0.500 0.000
Co 0.333 0.167 0.750
V 0.333 0.167 0.250
Co 0.667 0.833 0.250



<two>
Below is VCoOs after structural relaxation, with properties calculated at the PBE-GGA level.

The symmetry is No. 156. The crystal system is trigonal.

Cell lengths 2.585, 4.179, 4.179 Å; angles 120.00, 90.00, 90.00 degrees
Last column: magnetic moment on the atom in μB.
Fractional coordinates of all 3 atoms:
V 0.671 0.667 0.333  -0.02
Co 0.172 0.333 0.667  0.42
Os 0.157 0.000 0.000  0.03



<three>
Below is VCoOs after structural relaxation, with properties calculated at the PBE-GGA level.

The symmetry is No. 44. The crystal system is orthorhombic.

Cell lengths 2.575, 4.351, 4.351 Å; angles 60.68, 72.79, 72.79 degrees
Last column: magnetic moment on the atom in μB.
Fractional coordinates of all 3 atoms:
V 0.179 0.321 0.321  0.01
Os 0.817 0.683 0.683  0.10
Co 0.004 0.996 0.996  1.02



<four>
Below is VCoOs after structural relaxation, with properties calculated at the PBE-GGA level.

The symmetry is No. 107. The crystal system is tetragonal.

Cell lengths 2.618, 2.618, 5.894 Å; angles 102.83, 102.83, 90.00 degrees
Fractional coordinates of all 3 atoms:
Co 0.949 0.949 0.899
Os 0.291 0.291 0.582
V 0.610 0.610 0.220



According to the calculations, the structures order from most to least stable as <one>, <four>, <two>, <three>.